(1)
Below is a relaxed Pm2In2Ag3 crystal, with properties calculated at the PBE level.

a b c (Å): 3.4429 4.5923 11.0168
angles (deg): 102.03 90.00 90.00
Fractional coordinates of all 7 atoms:
1 Ag 0.5000 0.5641 0.1282
2 Ag 0.5000 0.4359 0.8718
3 Ag 0.0000 0.0000 0.0000
4 Pm 0.0000 0.8561 0.7122
5 Pm 0.0000 0.1439 0.2878
6 In 0.5000 0.7107 0.4214
7 In 0.5000 0.2893 0.5786

Values from the calculation:
As for the space group: No. 65. The polymorph energy (0 for the lowest one) comes out at 86 meV/atom. The raw total energy is -3.54 eV per atom. The value obtained for the formation energy is -0.181 eV/atom.

=====

(2)
Below is a relaxed Pm3In2Ag9 crystal, with properties calculated at the PBE level.

a b c (Å): 4.7352 8.7361 8.7361
angles (deg): 67.01 74.28 74.28
Fractional coordinates of all 14 atoms:
1 In 0.5000 0.3205 0.6795
2 In 0.5000 0.6795 0.3205
3 Ag 0.6606 0.9797 0.6991
4 Ag 0.8616 0.4259 0.8510
5 Ag 0.3394 0.0203 0.3009
6 Ag 0.1384 0.1490 0.5741
7 Ag 0.6606 0.6991 0.9797
8 Ag 0.0000 0.5000 0.5000
9 Ag 0.8616 0.8510 0.4259
10 Ag 0.3394 0.3009 0.0203
11 Ag 0.1384 0.5741 0.1490
12 Pm 0.7117 0.2883 0.2883
13 Pm 0.0000 0.0000 0.0000
14 Pm 0.2883 0.7117 0.7117

Values from the calculation:
As for the space group: No. 71. The raw total energy is -3.45 eV per atom. The value obtained for the formation energy is -0.210 eV/atom.

=====

(3)
Below is a relaxed Pm3In4Ag crystal, with properties calculated at the PBE level.

a b c (Å): 3.5091 6.6786 10.3377
angles (deg): 108.85 99.77 90.00
Fractional coordinates of all 8 atoms:
1 Pm 0.0000 0.5000 0.0000
2 Pm 0.2374 0.2374 0.4749
3 Pm 0.7626 0.7626 0.5251
4 In 0.3813 0.1296 0.7627
5 In 0.3813 0.6331 0.7627
6 In 0.6187 0.3669 0.2373
7 In 0.6187 0.8704 0.2373
8 Ag 0.5000 0.0000 0.0000

Values from the calculation:
As for the space group: No. 71. The raw total energy is -3.77 eV per atom. The value obtained for the formation energy is -0.260 eV/atom.

=====

(4)
Below is a relaxed Pm2In2Ag3 crystal, with properties calculated at the PBE level.

a b c (Å): 4.1396 8.0450 10.6378
angles (deg): 90.00 101.22 90.00
Fractional coordinates of all 14 atoms:
1 In 0.3161 0.0548 0.6321
2 In 0.3161 0.4452 0.6321
3 In 0.6839 0.5548 0.3679
4 In 0.6839 0.9452 0.3679
5 Ag 0.2352 0.7500 0.4705
6 Ag 0.7648 0.2500 0.5295
7 Ag 0.5569 0.0752 0.1137
8 Ag 0.4431 0.5752 0.8863
9 Ag 0.5569 0.4248 0.1137
10 Ag 0.4431 0.9248 0.8863
11 Pm 0.0556 0.7500 0.1112
12 Pm 0.8527 0.7500 0.7054
13 Pm 0.9444 0.2500 0.8888
14 Pm 0.1473 0.2500 0.2946

Values from the calculation:
As for the space group: No. 63. The polymorph energy (0 for the lowest one) comes out at 0 meV/atom. The raw total energy is -3.63 eV per atom. The value obtained for the formation energy is -0.267 eV/atom.

=====

(5)
Below is a relaxed PmIn2Ag6 crystal, with properties calculated at the PBE level.

a b c (Å): 3.4492 8.2675 8.2675
angles (deg): 59.19 78.29 78.29
Fractional coordinates of all 9 atoms:
1 In 0.1436 0.3539 0.3539
2 In 0.8564 0.6461 0.6461
3 Ag 0.6765 0.9987 0.6487
4 Ag 0.3235 0.0013 0.3513
5 Ag 0.6765 0.6487 0.9987
6 Ag 0.5000 0.6713 0.3287
7 Ag 0.3235 0.3513 0.0013
8 Ag 0.5000 0.3287 0.6713
9 Pm 0.0000 0.0000 0.0000

Values from the calculation:
As for the space group: No. 12. The raw total energy is -3.08 eV per atom. The value obtained for the formation energy is -0.041 eV/atom.

=====

(6)
Below is a relaxed Pm6InAg5 crystal, with properties calculated at the PBE level.

a b c (Å): 7.9951 7.7688 6.8708
angles (deg): 55.57 83.40 78.27
Fractional coordinates of all 12 atoms:
1 Pm 0.1964 0.3169 0.0000
2 Pm 0.7201 0.4540 0.6508
3 Pm 0.2799 0.5460 0.3492
4 Pm 0.7201 0.1048 0.3492
5 Pm 0.2799 0.8952 0.6508
6 Pm 0.8036 0.6831 0.0000
7 Ag 0.0000 0.2735 0.4530
8 Ag 0.0000 0.7265 0.5470
9 Ag 0.5000 0.1211 0.7578
10 Ag 0.5000 0.5000 0.0000
11 Ag 0.5000 0.8789 0.2422
12 In 0.0000 0.0000 0.0000

Values from the calculation:
As for the space group: No. 12. The polymorph energy (0 for the lowest one) comes out at 192 meV/atom. The raw total energy is -3.90 eV per atom. The value obtained for the formation energy is -0.112 eV/atom.

=====

(7)
Below is a relaxed PmInAg3 crystal, with properties calculated at the PBE level.

a b c (Å): 4.7220 3.5032 13.9336
angles (deg): 97.22 90.00 90.00
Fractional coordinates of all 10 atoms:
1 Ag 0.7500 0.3163 0.6326
2 Ag 0.7500 0.5263 0.0526
3 Ag 0.2500 0.4737 0.9474
4 Ag 0.2500 0.3734 0.7468
5 Ag 0.7500 0.6266 0.2532
6 Ag 0.2500 0.6837 0.3674
7 In 0.7500 0.2118 0.4236
8 In 0.2500 0.7882 0.5764
9 Pm 0.7500 0.9235 0.8469
10 Pm 0.2500 0.0765 0.1531

Values from the calculation:
As for the space group: No. 63. The raw total energy is -3.36 eV per atom. The value obtained for the formation energy is -0.152 eV/atom.

=====

(8)
Below is a relaxed Pm3In2Ag crystal, with properties calculated at the PBE level.

a b c (Å): 3.6600 3.6600 12.3752
angles (deg): 90.00 90.00 90.00
Fractional coordinates of all 6 atoms:
1 Pm 0.0000 0.0000 0.0000
2 Pm 0.0000 0.0000 0.6560
3 Pm 0.0000 0.0000 0.3440
4 In 0.5000 0.5000 0.1745
5 In 0.5000 0.5000 0.8255
6 Ag 0.5000 0.5000 0.5000

Values from the calculation:
As for the space group: No. 123. The raw total energy is -4.19 eV per atom. The value obtained for the formation energy is -0.422 eV/atom.

=====

(9)
Below is a relaxed Pm3In4Ag4 crystal, with properties calculated at the PBE level.

a b c (Å): 4.9217 3.6393 15.2846
angles (deg): 96.84 99.27 90.00
Fractional coordinates of all 11 atoms:
1 In 0.4512 0.4512 0.9025
2 In 0.5488 0.5488 0.0975
3 In 0.8121 0.3121 0.6243
4 In 0.1879 0.6879 0.3757
5 Pm 0.0000 0.0000 0.0000
6 Pm 0.6428 0.1428 0.2856
7 Pm 0.3572 0.8572 0.7144
8 Ag 0.7365 0.7365 0.4730
9 Ag 0.9065 0.4065 0.8129
10 Ag 0.2635 0.2635 0.5270
11 Ag 0.0935 0.5935 0.1871

Values from the calculation:
As for the space group: No. 71. The polymorph energy (0 for the lowest one) comes out at 0 meV/atom. The raw total energy is -3.68 eV per atom. The value obtained for the formation energy is -0.351 eV/atom.

=====

(10)
Below is a relaxed Pm2In3Ag2 crystal, with properties calculated at the PBE level.

a b c (Å): 4.6458 6.0272 7.3590
angles (deg): 111.91 90.00 112.67
Fractional coordinates of all 7 atoms:
1 In 0.3899 0.7799 0.5587
2 In 0.6101 0.2201 0.4413
3 In 0.5000 0.0000 0.0000
4 Pm 0.1488 0.2976 0.7826
5 Pm 0.8512 0.7024 0.2174
6 Ag 0.1473 0.2945 0.2230
7 Ag 0.8527 0.7055 0.7770

Values from the calculation:
As for the space group: No. 12. The raw total energy is -3.69 eV per atom. The value obtained for the formation energy is -0.347 eV/atom.

=====

(11)
Below is a relaxed Pm2In2Ag15 crystal, with properties calculated at the PBE level.

a b c (Å): 7.3701 7.3701 7.3701
angles (deg): 82.66 82.66 82.66
Fractional coordinates of all 19 atoms:
1 Ag 0.6912 0.0000 0.3088
2 Ag 0.3088 0.0000 0.6912
3 Ag 0.5000 0.0000 0.0000
4 Ag 0.8398 0.3522 0.3522
5 Ag 0.6478 0.1602 0.6478
6 Ag 0.6478 0.6478 0.1602
7 Ag 0.0000 0.3088 0.6912
8 Ag 0.3522 0.8398 0.3522
9 Ag 0.0000 0.6912 0.3088
10 Ag 0.3088 0.6912 0.0000
11 Ag 0.3522 0.3522 0.8398
12 Ag 0.0000 0.5000 0.0000
13 Ag 0.6912 0.3088 0.0000
14 Ag 0.0000 0.0000 0.5000
15 Ag 0.1602 0.6478 0.6478
16 In 0.1051 0.1051 0.1051
17 In 0.8949 0.8949 0.8949
18 Pm 0.3503 0.3503 0.3503
19 Pm 0.6497 0.6497 0.6497

Values from the calculation:
As for the space group: No. 166. The raw total energy is -3.13 eV per atom. The value obtained for the formation energy is -0.086 eV/atom.

=====

(12)
Below is a relaxed Pm2In3Ag crystal, with properties calculated at the PBE level.

a b c (Å): 3.7047 4.9298 8.5401
angles (deg): 90.00 90.00 90.00
Fractional coordinates of all 6 atoms:
1 Pm 0.0000 0.0000 0.4989
2 Pm 0.0000 0.5000 0.0026
3 In 0.5000 0.0000 0.1758
4 In 0.5000 0.5000 0.6567
5 In 0.5000 0.0000 0.8369
6 Ag 0.5000 0.5000 0.3292

Values from the calculation:
As for the space group: No. 25. The polymorph energy (0 for the lowest one) comes out at 0 meV/atom. The raw total energy is -3.88 eV per atom. The value obtained for the formation energy is -0.454 eV/atom.